(1)
Density functional theory data (GGA-PBE) for crystalline Cu2BiCl8 at its relaxed geometry.

Geometry as CIF:
```
data_Cu2BiCl8
_space_group_name_H-M_alt 'C 1 2 1'
_space_group_IT_number 5
_space_group_name_Hall 'C 2y'
_cell_length_a 13.734
_cell_length_b 6.772
_cell_length_c 6.772
_cell_angle_alpha 90.00
_cell_angle_beta 119.49
_cell_angle_gamma 90.00
loop_
_atom_site_label
_atom_site_type_symbol
_atom_site_fract_x
_atom_site_fract_y
_atom_site_fract_z
Cu1 Cu 0.250 0.000 0.250
Bi1 Bi 0.000 0.000 0.500
Cl1 Cl 0.120 0.166 0.292
Cl2 Cl 0.120 0.327 0.786
Cl3 Cl 0.120 0.673 0.454
Cl4 Cl 0.120 0.834 0.947
```

Properties
Fermi-level density of states: 10.5 states/eV per cell
Formation energy from raw total energies: -0.532 eV/atom
Total DFT energy (no corrections): -65.4 eV/cell


(2)
Density functional theory data (GGA-PBE) for crystalline Cu2BiCl6 at its relaxed geometry.

Geometry as CIF:
```
data_Cu2BiCl6
_space_group_name_H-M_alt 'C 1 2/c 1'
_space_group_IT_number 15
_space_group_name_Hall '-C 2yc'
_cell_length_a 13.530
_cell_length_b 12.419
_cell_length_c 6.788
_cell_angle_alpha 90.00
_cell_angle_beta 108.24
_cell_angle_gamma 90.00
loop_
_atom_site_label
_atom_site_type_symbol
_atom_site_fract_x
_atom_site_fract_y
_atom_site_fract_z
Cu1 Cu 0.079 0.089 0.139
Bi1 Bi 0.000 0.407 0.250
Cl1 Cl 0.110 0.068 0.503
Cl2 Cl 0.122 0.436 0.653
Cl3 Cl 0.124 0.261 0.134
```

Properties
Fermi-level density of states: 23.1 states/eV per cell
Formation energy from raw total energies: -0.693 eV/atom
Total DFT energy (no corrections): -117.6 eV/cell


Which of these has the lowest Fermi-level density of states?
Cu2BiCl8


What is the formation energy from raw total energies in the first record?
-0.532 eV/atom